No. 1
Na3TlAs | GGA-PBE | relaxed

density of states at the Fermi level: 1.8 states/eV per cell
energy of formation: -0.166 eV per atom
energy above the most stable polymorph in this dataset: 0 meV per atom

CIF file:
```
data_Na3TlAs
_symmetry_space_group_name_H-M 'P 1'
_symmetry_Int_Tables_number 1
_cell_length_a 7.5780
_cell_length_b 7.5780
_cell_length_c 7.5780
_cell_angle_alpha 93.52
_cell_angle_beta 108.27
_cell_angle_gamma 128.69
loop_
_symmetry_equiv_pos_as_xyz
'x,y,z'
loop_
_atom_site_label
_atom_site_fract_x
_atom_site_fract_y
_atom_site_fract_z
_atom_site_occupancy
Na1 0.2485 0.0317 0.2802 1
Na2 0.2485 0.4683 0.7167 1
Na3 0.7170 0.4976 0.7195 1
Na4 0.7515 0.5317 0.2833 1
Na5 0.7515 0.9683 0.7198 1
Na6 0.7781 0.9976 0.2805 1
Tl1 0.0749 0.5004 0.0745 1
Tl2 0.4259 0.0004 0.9255 1
As1 0.1229 0.0008 0.6222 1
As2 0.3786 0.5008 0.3778 1
```

No. 2
NaTl6As2 | GGA-PBE | relaxed

density of states at the Fermi level: 2.0 states/eV per cell
energy of formation: -0.049 eV per atom

CIF file:
```
data_NaTl6As2
_symmetry_space_group_name_H-M 'P 1'
_symmetry_Int_Tables_number 1
_cell_length_a 10.6047
_cell_length_b 8.5269
_cell_length_c 7.1364
_cell_angle_alpha 84.73
_cell_angle_beta 53.19
_cell_angle_gamma 42.08
loop_
_symmetry_equiv_pos_as_xyz
'x,y,z'
loop_
_atom_site_label
_atom_site_fract_x
_atom_site_fract_y
_atom_site_fract_z
_atom_site_occupancy
Na1 0.0000 0.0000 0.0000 1
Tl1 0.0382 0.3163 0.6837 1
Tl2 0.3163 0.0382 0.9618 1
Tl3 0.3346 0.6654 0.3346 1
Tl4 0.6654 0.3346 0.6654 1
Tl5 0.6837 0.9618 0.0382 1
Tl6 0.9618 0.6837 0.3163 1
As1 0.3679 0.3679 0.6321 1
As2 0.6321 0.6321 0.3679 1
```

No. 3
NaTl2As2 | GGA-PBE | relaxed

density of states at the Fermi level: 3.6 states/eV per cell
energy of formation: -0.047 eV per atom
energy above the most stable polymorph in this dataset: 27 meV per atom

CIF file:
```
data_NaTl2As2
_symmetry_space_group_name_H-M 'P 1'
_symmetry_Int_Tables_number 1
_cell_length_a 7.1678
_cell_length_b 7.1678
_cell_length_c 7.1678
_cell_angle_alpha 140.54
_cell_angle_beta 140.54
_cell_angle_gamma 57.03
loop_
_symmetry_equiv_pos_as_xyz
'x,y,z'
loop_
_atom_site_label
_atom_site_fract_x
_atom_site_fract_y
_atom_site_fract_z
_atom_site_occupancy
Na1 0.0000 0.0000 0.0000 1
Tl1 0.2500 0.7500 0.5000 1
Tl2 0.7500 0.2500 0.5000 1
As1 0.4032 0.4032 0.0000 1
As2 0.5968 0.5968 0.0000 1
```

No. 4
Na3TlAs | GGA-PBE | relaxed

density of states at the Fermi level: 4.6 states/eV per cell
energy of formation: -0.106 eV per atom
energy above the most stable polymorph in this dataset: 61 meV per atom

CIF file:
```
data_Na3TlAs
_symmetry_space_group_name_H-M 'P 1'
_symmetry_Int_Tables_number 1
_cell_length_a 5.5626
_cell_length_b 5.5626
_cell_length_c 5.5626
_cell_angle_alpha 90.00
_cell_angle_beta 90.00
_cell_angle_gamma 90.00
loop_
_symmetry_equiv_pos_as_xyz
'x,y,z'
loop_
_atom_site_label
_atom_site_fract_x
_atom_site_fract_y
_atom_site_fract_z
_atom_site_occupancy
Na1 0.0000 0.0000 0.5000 1
Na2 0.0000 0.5000 0.0000 1
Na3 0.5000 0.0000 0.0000 1
Tl1 0.5000 0.5000 0.5000 1
As1 0.0000 0.0000 0.0000 1
```

No. 5
NaTl2As2 | GGA-PBE | relaxed

density of states at the Fermi level: 2.9 states/eV per cell
energy of formation: 0.024 eV per atom
energy above the most stable polymorph in this dataset: 97 meV per atom

CIF file:
```
data_NaTl2As2
_symmetry_space_group_name_H-M 'P 1'
_symmetry_Int_Tables_number 1
_cell_length_a 9.4442
_cell_length_b 9.4442
_cell_length_c 9.4442
_cell_angle_alpha 156.09
_cell_angle_beta 156.09
_cell_angle_gamma 34.07
loop_
_symmetry_equiv_pos_as_xyz
'x,y,z'
loop_
_atom_site_label
_atom_site_fract_x
_atom_site_fract_y
_atom_site_fract_z
_atom_site_occupancy
Na1 0.0000 0.0000 0.0000 1
Tl1 0.3884 0.3884 0.0000 1
Tl2 0.6116 0.6116 0.0000 1
As1 0.2500 0.7500 0.5000 1
As2 0.7500 0.2500 0.5000 1
```

No. 6
Na3Tl3As2 | GGA-PBE | relaxed

density of states at the Fermi level: 12.4 states/eV per cell
energy of formation: -0.191 eV per atom

CIF file:
```
data_Na3Tl3As2
_symmetry_space_group_name_H-M 'P 1'
_symmetry_Int_Tables_number 1
_cell_length_a 7.6370
_cell_length_b 20.5871
_cell_length_c 5.8005
_cell_angle_alpha 90.00
_cell_angle_beta 90.00
_cell_angle_gamma 90.00
loop_
_symmetry_equiv_pos_as_xyz
'x,y,z'
loop_
_atom_site_label
_atom_site_fract_x
_atom_site_fract_y
_atom_site_fract_z
_atom_site_occupancy
Na1 0.1581 0.1179 0.1182 1
Na2 0.1581 0.3821 0.1182 1
Na3 0.2278 0.7500 0.2125 1
Na4 0.2722 0.2500 0.7125 1
Na5 0.3419 0.6179 0.6182 1
Na6 0.3419 0.8821 0.6182 1
Na7 0.6581 0.1179 0.3818 1
Na8 0.6581 0.3821 0.3818 1
Na9 0.7278 0.7500 0.2875 1
Na10 0.7722 0.2500 0.7875 1
Na11 0.8419 0.6179 0.8818 1
Na12 0.8419 0.8821 0.8818 1
Tl1 0.0264 0.7500 0.7147 1
Tl2 0.2010 0.5448 0.1442 1
Tl3 0.2010 0.9552 0.1442 1
Tl4 0.2990 0.0448 0.6442 1
Tl5 0.2990 0.4552 0.6442 1
Tl6 0.4736 0.2500 0.2147 1
Tl7 0.5264 0.7500 0.7853 1
Tl8 0.7010 0.5448 0.3558 1
Tl9 0.7010 0.9552 0.3558 1
Tl10 0.7990 0.0448 0.8558 1
Tl11 0.7990 0.4552 0.8558 1
Tl12 0.9736 0.2500 0.2853 1
As1 0.0125 0.1389 0.5990 1
As2 0.0125 0.3611 0.5990 1
As3 0.4875 0.6389 0.0990 1
As4 0.4875 0.8611 0.0990 1
As5 0.5125 0.1389 0.9010 1
As6 0.5125 0.3611 0.9010 1
As7 0.9875 0.6389 0.4010 1
As8 0.9875 0.8611 0.4010 1
```

No. 7
Na4Tl5As2 | GGA-PBE | relaxed

density of states at the Fermi level: 3.7 states/eV per cell
energy of formation: -0.141 eV per atom

CIF file:
```
data_Na4Tl5As2
_symmetry_space_group_name_H-M 'P 1'
_symmetry_Int_Tables_number 1
_cell_length_a 7.9286
_cell_length_b 4.3028
_cell_length_c 9.4105
_cell_angle_alpha 90.00
_cell_angle_beta 96.31
_cell_angle_gamma 90.00
loop_
_symmetry_equiv_pos_as_xyz
'x,y,z'
loop_
_atom_site_label
_atom_site_fract_x
_atom_site_fract_y
_atom_site_fract_z
_atom_site_occupancy
Na1 0.1988 0.0000 0.3396 1
Na2 0.2060 0.0000 0.9327 1
Na3 0.7940 0.0000 0.0673 1
Na4 0.8012 0.0000 0.6604 1
Tl1 0.1392 0.5000 0.6327 1
Tl2 0.4682 0.5000 0.1628 1
Tl3 0.5000 0.5000 0.5000 1
Tl4 0.5318 0.5000 0.8372 1
Tl5 0.8608 0.5000 0.3673 1
As1 0.0725 0.5000 0.1271 1
As2 0.9275 0.5000 0.8729 1
```

No. 8
Na4Tl2As | GGA-PBE | relaxed

density of states at the Fermi level: 3.8 states/eV per cell
energy of formation: -0.051 eV per atom

CIF file:
```
data_Na4Tl2As
_symmetry_space_group_name_H-M 'P 1'
_symmetry_Int_Tables_number 1
_cell_length_a 8.6965
_cell_length_b 8.6965
_cell_length_c 8.6965
_cell_angle_alpha 142.27
_cell_angle_beta 142.27
_cell_angle_gamma 54.42
loop_
_symmetry_equiv_pos_as_xyz
'x,y,z'
loop_
_atom_site_label
_atom_site_fract_x
_atom_site_fract_y
_atom_site_fract_z
_atom_site_occupancy
Na1 0.0000 0.5000 0.5000 1
Na2 0.1842 0.1842 0.0000 1
Na3 0.5000 0.0000 0.5000 1
Na4 0.8158 0.8158 0.0000 1
Tl1 0.3930 0.3930 0.0000 1
Tl2 0.6070 0.6070 0.0000 1
As1 0.0000 0.0000 0.0000 1
```

No. 9
NaTl2As2 | GGA-PBE | relaxed

density of states at the Fermi level: 3.2 states/eV per cell
energy of formation: 0.086 eV per atom
energy above the most stable polymorph in this dataset: 160 meV per atom

CIF file:
```
data_NaTl2As2
_symmetry_space_group_name_H-M 'P 1'
_symmetry_Int_Tables_number 1
_cell_length_a 8.2526
_cell_length_b 8.2526
_cell_length_c 3.7993
_cell_angle_alpha 90.00
_cell_angle_beta 90.00
_cell_angle_gamma 90.00
loop_
_symmetry_equiv_pos_as_xyz
'x,y,z'
loop_
_atom_site_label
_atom_site_fract_x
_atom_site_fract_y
_atom_site_fract_z
_atom_site_occupancy
Na1 0.0000 0.0000 0.0000 1
Na2 0.5000 0.5000 0.0000 1
Tl1 0.1438 0.3562 0.0000 1
Tl2 0.3562 0.8562 0.0000 1
Tl3 0.6438 0.1438 0.0000 1
Tl4 0.8562 0.6438 0.0000 1
As1 0.1506 0.6506 0.5000 1
As2 0.3494 0.1506 0.5000 1
As3 0.6506 0.8494 0.5000 1
As4 0.8494 0.3494 0.5000 1
```

No. 10
Na2Tl2As | GGA-PBE | relaxed

density of states at the Fermi level: 2.7 states/eV per cell
energy of formation: -0.074 eV per atom
energy above the most stable polymorph in this dataset: 0 meV per atom

CIF file:
```
data_Na2Tl2As
_symmetry_space_group_name_H-M 'P 1'
_symmetry_Int_Tables_number 1
_cell_length_a 7.6570
_cell_length_b 7.6570
_cell_length_c 4.9474
_cell_angle_alpha 90.00
_cell_angle_beta 90.00
_cell_angle_gamma 90.00
loop_
_symmetry_equiv_pos_as_xyz
'x,y,z'
loop_
_atom_site_label
_atom_site_fract_x
_atom_site_fract_y
_atom_site_fract_z
_atom_site_occupancy
Na1 0.1715 0.3285 0.0000 1
Na2 0.3285 0.8285 0.0000 1
Na3 0.6715 0.1715 0.0000 1
Na4 0.8285 0.6715 0.0000 1
Tl1 0.1417 0.6417 0.5000 1
Tl2 0.3583 0.1417 0.5000 1
Tl3 0.6417 0.8583 0.5000 1
Tl4 0.8583 0.3583 0.5000 1
As1 0.0000 0.0000 0.5000 1
As2 0.5000 0.5000 0.5000 1
```

No. 11
Na2Tl2As | GGA-PBE | relaxed

density of states at the Fermi level: 3.9 states/eV per cell
energy of formation: -0.054 eV per atom
energy above the most stable polymorph in this dataset: 20 meV per atom

CIF file:
```
data_Na2Tl2As
_symmetry_space_group_name_H-M 'P 1'
_symmetry_Int_Tables_number 1
_cell_length_a 7.3092
_cell_length_b 7.3092
_cell_length_c 5.2763
_cell_angle_alpha 90.00
_cell_angle_beta 90.00
_cell_angle_gamma 90.00
loop_
_symmetry_equiv_pos_as_xyz
'x,y,z'
loop_
_atom_site_label
_atom_site_fract_x
_atom_site_fract_y
_atom_site_fract_z
_atom_site_occupancy
Na1 0.1471 0.3529 0.0000 1
Na2 0.3529 0.8529 0.0000 1
Na3 0.6471 0.1471 0.0000 1
Na4 0.8529 0.6471 0.0000 1
Tl1 0.1822 0.6822 0.5000 1
Tl2 0.3178 0.1822 0.5000 1
Tl3 0.6822 0.8178 0.5000 1
Tl4 0.8178 0.3178 0.5000 1
As1 0.0000 0.0000 0.0000 1
As2 0.5000 0.5000 0.0000 1
```